(1)
# Cs5Nb2S4Br9

An optimized crystal structure of Cs5Nb2S4Br9 (PBE, the Alexandria database).

Cell lengths 10.923, 10.923, 10.923 Å; angles 138.34, 118.31, 77.21 degrees
Sites, in units of the cell vectors:
Cs  0.000  0.000  0.000
Cs  0.062  0.338  0.724
Cs  0.386  0.662  0.724
Cs  0.614  0.338  0.276
Cs  0.938  0.662  0.276
Nb  0.414  0.914  0.500
Nb  0.586  0.086  0.500
S  0.410  0.228  0.638
S  0.410  0.772  0.182
S  0.590  0.228  0.818
S  0.590  0.772  0.362
Br  0.000  0.500  0.500
Br  0.129  0.874  0.255
Br  0.297  0.036  0.739
Br  0.297  0.558  0.261
Br  0.382  0.126  0.255
Br  0.618  0.874  0.745
Br  0.703  0.442  0.739
Br  0.703  0.964  0.261
Br  0.871  0.126  0.745

## Properties
uncorrected formation energy: -1.329 eV/atom
V: 37.1 Å³ per atom



(2)
# CsNbSe2Br

An optimized crystal structure of CsNbSe2Br (PBE, the Alexandria database).

Cell lengths 5.648, 5.648, 6.242 Å; angles 90.00, 90.00, 90.00 degrees
Sites, in units of the cell vectors:
Cs  0.000  0.000  0.000
Nb  0.500  0.500  0.500
Se  0.000  0.500  0.000
Se  0.500  0.000  0.000
Br  0.000  0.000  0.500

## Properties
uncorrected formation energy: 1.302 eV/atom
V: 39.8 Å³ per atom
polymorph energy (0 for the lowest one): 2177 meV per atom



(3)
# CsNbSe2Br

An optimized crystal structure of CsNbSe2Br (PBE, the Alexandria database).

Cell lengths 5.124, 5.124, 5.593 Å; angles 90.00, 90.00, 90.00 degrees
Sites, in units of the cell vectors:
Cs  0.000  0.000  0.000
Nb  0.500  0.500  0.500
Se  0.000  0.500  0.500
Se  0.500  0.000  0.500
Br  0.500  0.500  0.000

## Properties
uncorrected formation energy: -0.874 eV/atom
V: 29.4 Å³ per atom
polymorph energy (0 for the lowest one): 0 meV per atom



(4)
# Cs2NbSeBr5

An optimized crystal structure of Cs2NbSeBr5 (PBE, the Alexandria database).

Cell lengths 7.856, 7.856, 7.856 Å; angles 120.85, 120.85, 88.53 degrees
Sites, in units of the cell vectors:
Cs  0.000  0.500  0.500
Cs  0.500  0.000  0.500
Nb  0.274  0.274  0.000
Se  0.482  0.482  0.000
Br  0.013  0.013  0.528
Br  0.013  0.485  0.000
Br  0.024  0.024  0.000
Br  0.485  0.013  0.000
Br  0.485  0.485  0.472

## Properties
uncorrected formation energy: -1.282 eV/atom
V: 37.6 Å³ per atom



(5)
# Cs2NbSnBr6

An optimized crystal structure of Cs2NbSnBr6 (PBE, the Alexandria database).

Cell lengths 8.054, 8.054, 8.054 Å; angles 60.00, 60.00, 60.00 degrees
Sites, in units of the cell vectors:
Cs  0.250  0.250  0.250
Cs  0.750  0.750  0.750
Nb  0.000  0.000  0.000
Sn  0.500  0.500  0.500
Br  0.240  0.240  0.760
Br  0.240  0.760  0.240
Br  0.240  0.760  0.760
Br  0.760  0.240  0.240
Br  0.760  0.240  0.760
Br  0.760  0.760  0.240

## Properties
uncorrected formation energy: -1.080 eV/atom
V: 36.9 Å³ per atom



(6)
# Cs2SrNbBr6

An optimized crystal structure of Cs2SrNbBr6 (PBE, the Alexandria database).

Cell lengths 8.115, 8.115, 8.115 Å; angles 60.00, 60.00, 60.00 degrees
Sites, in units of the cell vectors:
Cs  0.250  0.250  0.250
Cs  0.750  0.750  0.750
Sr  0.000  0.000  0.000
Nb  0.500  0.500  0.500
Br  0.262  0.262  0.738
Br  0.262  0.738  0.262
Br  0.262  0.738  0.738
Br  0.738  0.262  0.262
Br  0.738  0.262  0.738
Br  0.738  0.738  0.262

## Properties
uncorrected formation energy: -1.479 eV/atom
V: 37.8 Å³ per atom



(7)
# Cs2TaNbBr6

An optimized crystal structure of Cs2TaNbBr6 (PBE, the Alexandria database).

Cell lengths 7.783, 7.783, 7.783 Å; angles 120.07, 120.07, 89.88 degrees
Sites, in units of the cell vectors:
Cs  0.250  0.750  0.500
Cs  0.750  0.250  0.500
Ta  0.000  0.000  0.000
Nb  0.500  0.500  0.000
Br  0.247  0.247  0.000
Br  0.247  0.247  0.494
Br  0.247  0.753  0.000
Br  0.753  0.247  0.000
Br  0.753  0.753  0.000
Br  0.753  0.753  0.506

## Properties
uncorrected formation energy: -0.774 eV/atom
V: 33.3 Å³ per atom



(8)
# Cs2NbTeBr6

An optimized crystal structure of Cs2NbTeBr6 (PBE, the Alexandria database).

Cell lengths 8.282, 8.282, 8.282 Å; angles 115.12, 115.12, 98.68 degrees
Sites, in units of the cell vectors:
Cs  0.250  0.750  0.500
Cs  0.750  0.250  0.500
Nb  0.000  0.000  0.000
Te  0.500  0.500  0.000
Br  0.208  0.208  0.415
Br  0.208  0.792  0.000
Br  0.242  0.242  0.000
Br  0.758  0.758  0.000
Br  0.792  0.208  0.000
Br  0.792  0.792  0.585

## Properties
uncorrected formation energy: -0.951 eV/atom
V: 42.6 Å³ per atom